DFT (PBE) results for NdAsHRh2 after structural relaxation.

The structure in CIF format:
```
data_NdAsHRh2
_cell_length_a 3.9724
_cell_length_b 10.7870
_cell_length_c 7.2541
_cell_angle_alpha 90.00
_cell_angle_beta 90.00
_cell_angle_gamma 90.00
_symmetry_space_group_name_H-M 'C m c m'
_symmetry_Int_Tables_number 63
_symmetry_space_group_name_Hall '-C 2c 2'
loop_
_atom_site_label
_atom_site_fract_x
_atom_site_fract_y
_atom_site_fract_z
_atom_site_occupancy
Nd1 0.0000 0.0582 0.2500 1
As1 0.0000 0.2224 0.7500 1
H1 0.0000 0.5000 0.0000 1
Rh1 0.0000 0.3402 0.0532 1
```

***

# Sc2CoSe, relaxed, DFT PBE
data_Sc2CoSe
_cell_length_a 6.5062
_cell_length_b 6.5062
_cell_length_c 6.5062
_cell_angle_alpha 90.00
_cell_angle_beta 90.00
_cell_angle_gamma 90.00
_symmetry_space_group_name_H-M 'F -4 3 m'
_symmetry_Int_Tables_number 216
_symmetry_space_group_name_Hall 'F -4 2 3'
loop_
_atom_site_label
_atom_site_fract_x
_atom_site_fract_y
_atom_site_fract_z
_atom_site_occupancy
Sc1 0.0000 0.0000 0.0000 1
Sc2 0.2500 0.2500 0.2500 1
Co1 0.0000 0.0000 0.5000 1
Se1 0.2500 0.2500 0.7500 1
# Formation energy from raw total energies ... -0.029 eV/atom

***

# Ba2TlP, relaxed, DFT PBE
data_Ba2TlP
_cell_length_a 5.5310
_cell_length_b 5.5310
_cell_length_c 4.4499
_cell_angle_alpha 90.00
_cell_angle_beta 90.00
_cell_angle_gamma 90.00
_symmetry_space_group_name_H-M 'P 4/m m m'
_symmetry_Int_Tables_number 123
_symmetry_space_group_name_Hall '-P 4 2'
loop_
_atom_site_label
_atom_site_fract_x
_atom_site_fract_y
_atom_site_fract_z
_atom_site_occupancy
Ba1 0.0000 0.5000 0.0000 1
Tl1 0.0000 0.0000 0.5000 1
P1 0.5000 0.5000 0.5000 1
# Excess energy over the best structure of this formula in the dataset ... 2.58 kcal/mol of atoms
# ΔH_f (0 K) ... -0.518 eV per atom

***

# NaZrOs3, relaxed, DFT PBE
data_NaZrOs3
_cell_length_a 4.9330
_cell_length_b 4.9330
_cell_length_c 4.9330
_cell_angle_alpha 90.00
_cell_angle_beta 90.00
_cell_angle_gamma 90.00
_symmetry_space_group_name_H-M 'P m -3 m'
_symmetry_Int_Tables_number 221
_symmetry_space_group_name_Hall '-P 4 2 3'
loop_
_atom_site_label
_atom_site_fract_x
_atom_site_fract_y
_atom_site_fract_z
_atom_site_occupancy
Na1 0.0000 0.0000 0.0000 1
Zr1 0.5000 0.5000 0.5000 1
Os1 0.0000 0.5000 0.5000 1
# ΔH_f (0 K) ... 2.203 eV per atom

***

no.,raw total energy (eV/atom),volume (Å³ per cell)
1,-6.2757,310.85
2,-5.8423,275.41
3,-3.4235,136.13
4,-6.5080,120.04